Record 1
A relaxed Na2AgB2O5 crystal, computed with PBE.

Cell and atoms, written as CIF:
```
data_Na2AgB2O5
_cell_length_a 5.9478
_cell_length_b 8.8411
_cell_length_c 8.9044
_cell_angle_alpha 90.00
_cell_angle_beta 100.35
_cell_angle_gamma 90.00
_space_group_name_H-M_alt 'C 1 2/c 1'
_space_group_IT_number 15
_space_group_name_Hall '-C 2yc'
loop_
_atom_site_label
_atom_site_type_symbol
_atom_site_fract_x
_atom_site_fract_y
_atom_site_fract_z
_atom_site_occupancy
Na1 Na 0.0308 0.2089 0.0797 1
Ag1 Ag 0.0000 0.1457 0.7500 1
B1 B 0.1405 0.4742 0.6567 1
O1 O 0.0000 0.4591 0.2500 1
O2 O 0.1967 0.3259 0.6560 1
O3 O 0.2426 0.4291 0.0659 1
```

Calculated total energy ... -241.4 eV for the cell shown
V ... 11.5 Å³ per atom

Record 2
A relaxed NbAgB2 crystal, computed with PBE.

Cell and atoms, written as CIF:
```
data_NbAgB2
_cell_length_a 5.9272
_cell_length_b 5.9272
_cell_length_c 5.9272
_cell_angle_alpha 90.00
_cell_angle_beta 90.00
_cell_angle_gamma 90.00
_space_group_name_H-M_alt 'F -4 3 m'
_space_group_IT_number 216
_space_group_name_Hall 'F -4 2 3'
loop_
_atom_site_label
_atom_site_type_symbol
_atom_site_fract_x
_atom_site_fract_y
_atom_site_fract_z
_atom_site_occupancy
Nb1 Nb 0.0000 0.0000 0.0000 1
Ag1 Ag 0.2500 0.2500 0.2500 1
B1 B 0.0000 0.0000 0.5000 1
B2 B 0.2500 0.2500 0.7500 1
```

Calculated total energy ... -81.8 eV for the cell shown
V ... 13.0 Å³ per atom